1.
Here is an optimized crystal structure of CeDyRh from Alexandria. Energies are from GGA-PBE.

Cell lengths 5.118, 11.495, 4.783 Å; angles 90.00, 90.00, 90.00 degrees
Space group Cmcm (No. 63)
Symmetry-distinct sites (fractional):
Ce (0.000, 0.089, 0.250)
Dy (0.000, 0.382, 0.250)
Rh (0.000, 0.233, 0.750)

Results
Energy above the most stable polymorph in this dataset   0.000 eV per atom
Total DFT energy (no corrections)   -6.442 eV per atom
Magnetization   0.00 μB/f.u.

---

2.
Here is an optimized crystal structure of CeDyRh from Alexandria. Energies are from GGA-PBE.

Cell lengths 4.693, 4.664, 7.021 Å; angles 90.00, 92.36, 90.00 degrees
Space group Pm (No. 6)
Symmetry-distinct sites (fractional):
Ce (0.000, 0.000, 0.000)
Ce (0.026, 0.500, 0.620)
Dy (0.506, 0.000, 0.385)
Dy (0.525, 0.500, 0.011)
Rh (0.062, 0.500, 0.264)
Rh (0.427, 0.000, 0.770)

Results
Energy above the most stable polymorph in this dataset   0.030 eV per atom
Total DFT energy (no corrections)   -6.412 eV per atom
Magnetization   0.69 μB/f.u.

---

Question: Look up the magnetization of the first one.
Answer: 0.00 μB/f.u.